1.
The following is a DFT calculation (PBE-GGA) of Tm8AsP3S4 after structural relaxation.

Values from the calculation:
Symmetry: No. 166
D(E_F) (states/eV/f.u.): 5.82
E_form (uncorrected) (meV per atom): -1814

```
data_Tm8AsP3S4
_chemical_formula_sum 'Tm8 As1 P3 S4'
_symmetry_space_group_name_H-M 'P 1'
_symmetry_Int_Tables_number 1
_cell_length_a 7.8263
_cell_length_b 7.8263
_cell_length_c 7.8263
_cell_angle_alpha 60.11
_cell_angle_beta 60.11
_cell_angle_gamma 60.11
loop_
_symmetry_equiv_pos_as_xyz
'x,y,z'
loop_
_atom_site_label
_atom_site_type_symbol
_atom_site_fract_x
_atom_site_fract_y
_atom_site_fract_z
_atom_site_occupancy
Tm1 Tm 0.2425 0.7510 0.7510 1
Tm2 Tm 0.2469 0.2469 0.2469 1
Tm3 Tm 0.2490 0.2490 0.7575 1
Tm4 Tm 0.2490 0.7575 0.2490 1
Tm5 Tm 0.7510 0.2425 0.7510 1
Tm6 Tm 0.7510 0.7510 0.2425 1
Tm7 Tm 0.7531 0.7531 0.7531 1
Tm8 Tm 0.7575 0.2490 0.2490 1
As1 As 0.5000 0.5000 0.5000 1
P1 P 0.0000 0.0000 0.5000 1
P2 P 0.0000 0.5000 0.0000 1
P3 P 0.5000 0.0000 0.0000 1
S1 S 0.0000 0.0000 0.0000 1
S2 S 0.0000 0.5000 0.5000 1
S3 S 0.5000 0.0000 0.5000 1
S4 S 0.5000 0.5000 0.0000 1
```

***

2.
The following is a DFT calculation (PBE-GGA) of Tm6As2PS3 after structural relaxation.

Values from the calculation:
Symmetry: No. 12
D(E_F) (states/eV/f.u.): 3.96
E_form (uncorrected) (meV per atom): -1776

```
data_Tm6As2PS3
_chemical_formula_sum 'Tm6 As2 P1 S3'
_symmetry_space_group_name_H-M 'P 1'
_symmetry_Int_Tables_number 1
_cell_length_a 8.8078
_cell_length_b 8.8078
_cell_length_c 7.8644
_cell_angle_alpha 102.66
_cell_angle_beta 102.66
_cell_angle_gamma 25.89
loop_
_symmetry_equiv_pos_as_xyz
'x,y,z'
loop_
_atom_site_label
_atom_site_type_symbol
_atom_site_fract_x
_atom_site_fract_y
_atom_site_fract_z
_atom_site_occupancy
Tm1 Tm 0.0008 0.0008 0.2588 1
Tm2 Tm 0.3346 0.3346 0.9155 1
Tm3 Tm 0.3367 0.3367 0.4206 1
Tm4 Tm 0.6633 0.6633 0.5794 1
Tm5 Tm 0.6654 0.6654 0.0845 1
Tm6 Tm 0.9992 0.9992 0.7412 1
As1 As 0.1668 0.1668 0.8334 1
As2 As 0.8332 0.8332 0.1666 1
P1 P 0.5000 0.5000 0.5000 1
S1 S 0.1675 0.1675 0.3336 1
S2 S 0.5000 0.5000 0.0000 1
S3 S 0.8325 0.8325 0.6664 1
```